Material: Tm2HPb
Method: DFT, PBE
State: optimized geometry

a b c (Å): 4.492 4.492 8.416
angles (deg): 90.00 90.00 90.00
Space group P4/nmm (No. 129, origin choice 2)
Symmetry-distinct sites (fractional):
Tm 0.250 0.250 0.156 [2 per cell]
Tm 0.250 0.750 0.500 [2 per cell]
H 0.250 0.250 0.422 [2 per cell]
Pb 0.250 0.250 0.786 [2 per cell]

Computed properties:
polymorph energy (0 for the lowest one): 0 meV per atom

---

Material: HgAsSe2N
Method: DFT, PBE
State: optimized geometry

a b c (Å): 5.273 5.273 3.661
angles (deg): 90.00 90.00 90.00
Space group P4/mmm (No. 123)
Symmetry-distinct sites (fractional):
Hg 0.000 0.000 0.000 [1 per cell]
As 0.500 0.500 0.500 [1 per cell]
Se 0.000 0.500 0.500 [2 per cell]
N 0.500 0.500 0.000 [1 per cell]

Computed properties:
E_form (uncorrected): 0.7663 eV/atom
polymorph energy (0 for the lowest one): 0 meV per atom

---

Material: TaMo2H2
Method: DFT, PBE
State: optimized geometry

a b c (Å): 3.280 3.280 10.303
angles (deg): 90.00 90.00 90.00
Space group I4/mmm (No. 139)
Symmetry-distinct sites (fractional):
Ta 0.000 0.000 0.000 [2 per cell]
Mo 0.000 0.000 0.346 [4 per cell]
H 0.000 0.500 0.250 [4 per cell]

---

Material: BaCdC
Method: DFT, PBE
State: optimized geometry

a b c (Å): 4.518 4.905 9.272
angles (deg): 102.33 90.27 116.24
Space group P-1 (No. 2)
Symmetry-distinct sites (fractional):
Ba 0.095 0.193 0.306 [2 per cell]
Cd 0.341 0.688 0.010 [2 per cell]
C 0.421 0.853 0.472 [2 per cell]

Computed properties:
energy relative to the elements: -0.049 eV per atom
polymorph energy (0 for the lowest one): 0 meV per atom

---

Total magnetic moment: 0.000, 0.000, 0.000, 0.000 (μB/cell)
E_tot: -18.038, -16.414, -40.225, -12.210 (eV per formula unit)